Record 1
A geometry-optimized Cd2InAu2 structure, computed with PBE.

Cell: 7.483 7.483 3.855 Å, 90.00 90.00 90.00°
Space group P4/mbm (No. 127)
Unique sites:
Cd 0.156 0.344 0.000
In 0.000 0.000 0.500
Au 0.142 0.642 0.500

Computed properties:
M_tot   0.00 μB/atom
Crystal system   tetragonal
Distance to the lowest polymorph of the same formula   0.043 eV/atom
Formation energy from the elements   -141.7 meV per atom

***

Record 2
A geometry-optimized Cd2InAu structure, computed with PBE.

Cell: 9.538 3.749 5.081 Å, 90.00 101.85 90.00°
Space group C2/m (No. 12)
Unique sites:
Cd 0.243 0.000 0.231
In 0.000 0.000 0.500
Au 0.000 0.500 0.000

Computed properties:
M_tot   0.00 μB/atom
Crystal system   monoclinic
Formation energy from the elements   -76.2 meV per atom

***

Record 3
A geometry-optimized Cd2InAu structure, computed with PBE.

Cell: 3.8866 3.8866 22.9407 Å, 90.00 90.00 120.00°
Space group R3m (No. 160, hexagonal axes)
Unique sites:
Cd 0.0000 0.0000 0.0000
Cd 0.0000 0.0000 0.1843
In 0.0000 0.0000 0.7590
Au 0.0000 0.0000 0.5925

Computed properties:
M_tot   0.00 μB/atom
Crystal system   trigonal
Formation energy from the elements   15.8 meV per atom